1.
Here is crystalline Ti4Al9Ga11 at its relaxed geometry from Alexandria. Energies are from PBE-GGA.

a = 3.094 Å, b = 11.928 Å, c = 11.928 Å
α = 113.33°, β = 90.00°, γ = 90.00°
Fractional coordinates of all 24 atoms:
Al 0.500 0.984 0.798
Al 0.500 0.613 0.172
Ga 0.000 0.594 0.959
Ga 0.000 0.186 0.814
Ti 0.500 0.759 0.586
Al 0.500 0.500 0.500
Ga 0.000 0.959 0.594
Al 0.500 0.828 0.387
Al 0.500 0.016 0.202
Al 0.500 0.202 0.016
Ti 0.500 0.241 0.414
Ga 0.000 0.616 0.384
Ga 0.000 0.000 0.000
Ga 0.000 0.216 0.216
Ga 0.000 0.406 0.041
Ga 0.000 0.784 0.784
Al 0.500 0.172 0.613
Al 0.500 0.798 0.984
Al 0.500 0.387 0.828
Ga 0.000 0.384 0.616
Ga 0.000 0.814 0.186
Ga 0.000 0.041 0.406
Ti 0.500 0.586 0.759
Ti 0.500 0.414 0.241

The total energy is -101.0 eV per formula unit. The calculation puts the density of states at the Fermi level at 0.2719 states/eV per atom. As for the formation enthalpy at 0 K: -2.42 eV per formula unit.



2.
Here is crystalline Ce2BeS4 at its relaxed geometry from Alexandria. Energies are from PBE-GGA.

a = 6.297 Å, b = 6.311 Å, c = 7.778 Å
α = 90.00°, β = 108.05°, γ = 90.00°
Site moments in Bohr magnetons follow the coordinates.
Fractional coordinates of all 14 atoms:
S 0.495 0.000 0.256  -0.02
S 0.089 0.750 0.916  -0.02
Ce 0.275 0.250 0.945  0.87
Be 0.268 0.750 0.196  0.00
Ce 0.725 0.750 0.055  0.87
Ce 0.759 0.750 0.567  0.94
S 0.922 0.250 0.622  -0.02
S 0.495 0.500 0.256  -0.02
S 0.078 0.750 0.378  -0.02
S 0.505 0.000 0.744  -0.02
S 0.911 0.250 0.084  -0.02
Ce 0.241 0.250 0.433  0.94
S 0.505 0.500 0.744  -0.02
Be 0.732 0.250 0.804  0.00

The formation energy (no corrections) comes out at -1.678 eV/atom. The total energy is -43.8 eV per formula unit. The calculation puts the density of states at the Fermi level at 1.7882 states/eV per atom.



3.
Here is crystalline Sr2Cu4Ge3Pt at its relaxed geometry from Alexandria. Energies are from PBE-GGA.

a = 4.263 Å, b = 4.263 Å, c = 10.352 Å
α = 90.00°, β = 90.00°, γ = 90.00°
Fractional coordinates of all 10 atoms:
Sr 0.000 0.500 0.750
Ge 0.000 0.000 0.500
Cu 0.000 0.000 0.000
Pt 0.500 0.500 0.500
Sr 0.500 0.000 0.250
Cu 0.500 0.500 0.000
Cu 0.500 0.000 0.637
Ge 0.000 0.500 0.124
Cu 0.000 0.500 0.363
Ge 0.500 0.000 0.876

The total energy is -43.2 eV per formula unit. The calculation puts the density of states at the Fermi level at 0.3861 states/eV per atom. As for the formation enthalpy at 0 K: -3.60 eV per formula unit.



4.
Here is crystalline OsRu2BrO at its relaxed geometry from Alexandria. Energies are from PBE-GGA.

a = 4.684 Å, b = 3.700 Å, c = 4.684 Å
α = 90.00°, β = 90.00°, γ = 90.00°
Site moments in Bohr magnetons follow the coordinates.
Fractional coordinates of all 5 atoms:
O 0.000 0.500 0.000  0.04
Os 0.500 0.500 0.500  1.84
Ru 0.500 0.000 0.000  0.89
Ru 0.000 0.000 0.500  0.92
Br 0.000 0.000 0.000  0.00

The formation energy (no corrections) comes out at 1.911 eV/atom. The total energy is -26.9 eV per formula unit. The calculation puts the density of states at the Fermi level at 1.1169 states/eV per atom.



5.
Here is crystalline V2GaH2 at its relaxed geometry from Alexandria. Energies are from PBE-GGA.

a = 4.780 Å, b = 4.780 Å, c = 5.253 Å
α = 103.63°, β = 103.63°, γ = 118.87°
Fractional coordinates of all 10 atoms:
H 0.746 0.496 0.493
Ga 0.125 0.875 0.250
H 0.504 0.254 0.007
V 0.798 0.202 0.250
H 0.254 0.504 0.507
V 0.202 0.798 0.750
V 0.453 0.547 0.250
Ga 0.875 0.125 0.750
H 0.496 0.746 0.993
V 0.547 0.453 0.750

As for the offset from the most stable computed form: 6 kJ/mol of formula units. The total energy is -28.9 eV per formula unit. The calculation puts the density of states at the Fermi level at 0.5700 states/eV per atom.



6.
Here is crystalline InAg2Br4 at its relaxed geometry from Alexandria. Energies are from PBE-GGA.

a = 6.159 Å, b = 6.159 Å, c = 7.760 Å
α = 113.38°, β = 113.38°, γ = 90.00°
Fractional coordinates of all 7 atoms:
Br 0.110 0.110 0.754
Br 0.644 0.644 0.754
Br 0.356 0.890 0.246
In 0.500 0.500 0.000
Ag 0.250 0.750 0.500
Br 0.890 0.356 0.246
Ag 0.750 0.250 0.500

The formation energy (no corrections) comes out at -0.437 eV/atom. As for the offset from the most stable computed form: 0 kJ/mol of formula units. The total energy is -18.2 eV per formula unit. The calculation puts the density of states at the Fermi level at 0.6422 states/eV per atom.



7.
Here is crystalline Y5TmTe4 at its relaxed geometry from Alexandria. Energies are from PBE-GGA.

a = 7.400 Å, b = 9.154 Å, c = 9.748 Å
α = 90.00°, β = 90.00°, γ = 90.00°
Fractional coordinates of all 20 atoms:
Y 0.760 0.305 0.692
Te 0.432 0.274 0.500
Tm 0.131 0.500 0.500
Te 0.915 0.000 0.703
Y 0.240 0.195 0.192
Y 0.212 0.000 0.500
Y 0.240 0.805 0.192
Te 0.432 0.726 0.500
Y 0.760 0.305 0.308
Te 0.568 0.226 0.000
Tm 0.869 0.000 0.000
Te 0.085 0.500 0.203
Y 0.760 0.695 0.692
Y 0.788 0.500 0.000
Y 0.240 0.195 0.808
Te 0.568 0.774 0.000
Y 0.240 0.805 0.808
Te 0.085 0.500 0.797
Y 0.760 0.695 0.308
Te 0.915 0.000 0.297

The formation energy (no corrections) comes out at -0.795 eV/atom. The total energy is -57.3 eV per formula unit. The calculation puts the density of states at the Fermi level at 0.9657 states/eV per atom.



8.
Here is crystalline Ac5La4Nd at its relaxed geometry from Alexandria. Energies are from PBE-GGA.

a = 3.882 Å, b = 3.882 Å, c = 27.014 Å
α = 90.00°, β = 90.00°, γ = 90.00°
Fractional coordinates of all 10 atoms:
Ac 0.500 0.500 0.098
Ac 0.500 0.500 0.299
La 0.000 0.000 0.802
Ac 0.500 0.500 0.500
La 0.000 0.000 0.399
Ac 0.500 0.500 0.902
La 0.000 0.000 0.198
La 0.000 0.000 0.601
Nd 0.000 0.000 0.000
Ac 0.500 0.500 0.701

As for the offset from the most stable computed form: 0 kJ/mol of formula units. The total energy is -44.8 eV per formula unit. The calculation puts the density of states at the Fermi level at 2.1325 states/eV per atom. As for the formation enthalpy at 0 K: 0.26 eV per formula unit.



9.
Here is crystalline AcYSnAu at its relaxed geometry from Alexandria. Energies are from PBE-GGA.

a = 5.476 Å, b = 5.476 Å, c = 5.476 Å
α = 60.00°, β = 60.00°, γ = 60.00°
Site moments in Bohr magnetons follow the coordinates.
Fractional coordinates of all 4 atoms:
Y 0.750 0.750 0.750  0.20
Sn 0.500 0.500 0.500  -0.02
Ac 0.250 0.250 0.250  0.09
Au 0.000 0.000 0.000  0.03

The total energy is -20.5 eV per formula unit. The calculation puts the density of states at the Fermi level at 0.9417 states/eV per atom. As for the formation enthalpy at 0 K: -2.65 eV per formula unit.



10.
Here is crystalline Na4AcEr3Te8 at its relaxed geometry from Alexandria. Energies are from PBE-GGA.

a = 8.998 Å, b = 9.187 Å, c = 8.998 Å
α = 119.32°, β = 120.00°, γ = 90.00°
Fractional coordinates of all 16 atoms:
Na 0.500 0.000 0.000
Te 0.258 0.273 0.515
Na 0.000 0.000 0.000
Te 0.254 0.736 0.509
Te 0.727 0.736 0.982
Ac 0.000 0.500 0.000
Te 0.254 0.736 0.982
Te 0.273 0.264 0.018
Na 0.500 0.000 0.500
Er 0.000 0.500 0.500
Na 0.000 0.000 0.500
Te 0.746 0.264 0.018
Te 0.746 0.264 0.491
Er 0.500 0.500 0.500
Er 0.500 0.500 0.000
Te 0.742 0.727 0.485

The formation energy (no corrections) comes out at -1.311 eV/atom. The total energy is -69.2 eV per formula unit.



11.
Here is crystalline In3Ir at its relaxed geometry from Alexandria. Energies are from PBE-GGA.

a = 5.046 Å, b = 5.046 Å, c = 3.491 Å
α = 90.00°, β = 90.00°, γ = 111.46°
Fractional coordinates of all 4 atoms:
In 0.500 0.500 0.000
Ir 0.000 0.000 0.000
In 0.000 0.500 0.500
In 0.500 0.000 0.500

The total energy is -16.2 eV per formula unit. The calculation puts the density of states at the Fermi level at 0.5876 states/eV per atom. As for the formation enthalpy at 0 K: 0.92 eV per formula unit.



12.
Here is crystalline ScP2Cl at its relaxed geometry from Alexandria. Energies are from PBE-GGA.

a = 4.646 Å, b = 4.646 Å, c = 4.646 Å
α = 60.00°, β = 60.00°, γ = 60.00°
Fractional coordinates of all 4 atoms:
Cl 0.500 0.500 0.500
P 0.000 0.000 0.000
P 0.250 0.250 0.250
Sc 0.750 0.750 0.750

The formation energy (no corrections) comes out at -0.144 eV/atom. As for the offset from the most stable computed form: 304 kJ/mol of formula units. The total energy is -19.6 eV per formula unit. The calculation puts the density of states at the Fermi level at 1.3450 states/eV per atom.